Record 1
Material: LaZrCr2
Method: DFT, PBE-GGA
State: optimized geometry

Values from the calculation:
Crystal system = tetragonal
Total magnetic moment = 0.00 μB per formula unit
Density = 7.116 Mg/m³
Formation energy from the elements = 1.051 eV/atom
Calculated volume = 155.9 Å³/cell

Unit cell a=5.9302 b=5.9302 c=5.9302 alpha=104.22 beta=104.22 gamma=120.59
Last column: nearest neighbours and their distance in Å.
Fractional positions:
La 0.0000 0.0000 0.0000  4 Cr 2.70, 2 Zr 2.94
La 0.7500 0.2500 0.5000  4 Cr 2.70, 2 Zr 2.94
Zr 0.2500 0.7500 0.5000  4 Cr 2.66, 2 La 2.94
Zr 0.5000 0.5000 0.0000  4 Cr 2.66, 2 La 2.94
Cr 0.1296 0.6250 0.0046  2 Zr 2.66, 2 La 2.70, 2 Cr 2.94
Cr 0.3750 0.3796 0.5046  2 Zr 2.66, 2 La 2.70, 2 Cr 2.94
Cr 0.6204 0.1250 0.9954  2 Zr 2.66, 2 La 2.70, 2 Cr 2.94
Cr 0.8750 0.8704 0.4954  2 Zr 2.66, 2 La 2.70, 2 Cr 2.94

=====

Record 2
Material: LaZrCr2
Method: DFT, PBE-GGA
State: optimized geometry

Values from the calculation:
Crystal system = orthorhombic
Total magnetic moment = 0.00 μB per formula unit
Density = 7.095 Mg/m³
Formation energy from the elements = 0.634 eV/atom
Calculated volume = 78.2 Å³/cell

Unit cell a=3.2282 b=3.9770 c=6.0912 alpha=90.00 beta=90.00 gamma=90.00
Last column: nearest neighbours and their distance in Å.
Fractional positions:
La 0.0000 0.0000 0.0000  1 Cr 2.35
Zr 0.5000 0.5000 0.3842  1 Cr 2.21
Cr 0.0000 0.0000 0.6145  1 La 2.35
Cr 0.5000 0.5000 0.7465  1 Zr 2.21

=====

Record 3
Material: Li2Cr
Method: DFT, PBE-GGA
State: optimized geometry

Values from the calculation:
Crystal system = cubic
Total magnetic moment = 0.89 μB per formula unit
Density = 2.911 Mg/m³
Formation energy from the elements = 0.815 eV/atom
Calculated volume = 75.1 Å³/cell

Unit cell a=4.7367 b=4.7367 c=4.7367 alpha=60.00 beta=60.00 gamma=60.00
Last column: nearest neighbours and their distance in Å.
Fractional positions:
Li 0.0000 0.0000 0.0000  6 Li 2.37
Li 0.0000 0.0000 0.5000  6 Li 2.37
Li 0.0000 0.5000 0.0000  6 Li 2.37
Li 0.5000 0.0000 0.0000  6 Li 2.37
Cr 0.3750 0.3750 0.3750  12 Li 2.78, 4 Cr 2.90
Cr 0.6250 0.6250 0.6250  12 Li 2.78, 4 Cr 2.90

=====

Record 4
Material: LiCr
Method: DFT, PBE-GGA
State: optimized geometry

Values from the calculation:
Crystal system = hexagonal
Total magnetic moment = 0.52 μB per formula unit
Density = 3.869 Mg/m³
Formation energy from the elements = 0.527 eV/atom
Calculated volume = 25.3 Å³/cell

Unit cell a=2.4732 b=2.4732 c=4.7752 alpha=90.00 beta=90.00 gamma=120.00
Last column: nearest neighbours and their distance in Å.
Fractional positions:
Li 0.0000 0.0000 0.0000  6 Li 2.47
Cr 0.6667 0.3333 0.5000  6 Cr 2.47

=====

Q: Among the records above, which one has the highest formation energy from the elements?
A: number 1

=====

What did the third record say?
Material: Li2Cr
Method: DFT, PBE-GGA
State: optimized geometry

Values from the calculation:
Crystal system = cubic
Total magnetic moment = 0.89 μB per formula unit
Density = 2.911 Mg/m³
Formation energy from the elements = 0.815 eV/atom
Calculated volume = 75.1 Å³/cell

Unit cell a=4.7367 b=4.7367 c=4.7367 alpha=60.00 beta=60.00 gamma=60.00
Last column: nearest neighbours and their distance in Å.
Fractional positions:
Li 0.0000 0.0000 0.0000  6 Li 2.37
Li 0.0000 0.0000 0.5000  6 Li 2.37
Li 0.0000 0.5000 0.0000  6 Li 2.37
Li 0.5000 0.0000 0.0000  6 Li 2.37
Cr 0.3750 0.3750 0.3750  12 Li 2.78, 4 Cr 2.90
Cr 0.6250 0.6250 0.6250  12 Li 2.78, 4 Cr 2.90